DFT (PBE) results for crystalline Hf2Fe2B at its relaxed geometry.

a b c (Å): 5.7677 5.7677 4.1254
angles (deg): 90.00 90.00 90.00
Element x y z (fractional)
Hf  0.1784  0.3216  0.0000
Hf  0.3216  0.8216  0.0000
Hf  0.6784  0.1784  0.0000
Hf  0.8216  0.6784  0.0000
Fe  0.1439  0.6439  0.5000
Fe  0.3561  0.1439  0.5000
Fe  0.6439  0.8561  0.5000
Fe  0.8561  0.3561  0.5000
B  0.0000  0.0000  0.5000
B  0.5000  0.5000  0.5000

## Properties
For the total magnetization, the calculation gives 0.08 μB per cell. Its density of states at the Fermi level is 0.787 states/eV per atom. As for the symmetry: No. 127. As for the formation energy: -0.1 eV/f.u.

DFT (PBE) results for crystalline MgAgMo2 at its relaxed geometry.

a b c (Å): 2.7028 2.7028 9.1771
angles (deg): 90.00 90.00 90.00
Element x y z (fractional)
Mg  0.0000  0.0000  0.0000
Ag  0.0000  0.0000  0.5000
Mo  0.5000  0.5000  0.2502
Mo  0.5000  0.5000  0.7498

## Properties
For the total magnetization, the calculation gives 0.00 μB per cell. Its density of states at the Fermi level is 0.794 states/eV per atom. As for the symmetry: No. 123. As for the formation energy: 1.7 eV/f.u.

DFT (PBE) results for crystalline BaSrZnHg at its relaxed geometry.

a b c (Å): 4.0625 4.0625 8.1162
angles (deg): 90.00 90.00 90.00
Element x y z (fractional)
Ba  0.0000  0.0000  0.0000
Sr  0.0000  0.0000  0.4897
Zn  0.5000  0.5000  0.2602
Hg  0.5000  0.5000  0.7285

## Properties
For the total magnetization, the calculation gives 0.00 μB per cell. Its density of states at the Fermi level is 0.689 states/eV per atom. As for the symmetry: No. 99. As for the formation energy: -1.4 eV/f.u.

DFT (PBE) results for crystalline Cd2CuAs at its relaxed geometry.

a b c (Å): 5.7053 8.6394 3.0968
angles (deg): 90.00 90.00 90.00
Element x y z (fractional)
Cd  0.2500  0.2500  0.0000
Cd  0.2500  0.7500  0.0000
Cd  0.7500  0.2500  0.0000
Cd  0.7500  0.7500  0.0000
Cu  0.0000  0.0000  0.5000
Cu  0.5000  0.5000  0.5000
As  0.0000  0.5000  0.5000
As  0.5000  0.0000  0.5000

## Properties
For the total magnetization, the calculation gives 0.00 μB per cell. Its density of states at the Fermi level is 0.350 states/eV per atom. As for the symmetry: No. 65. As for the formation energy: 0.8 eV/f.u.